[1]
A plane-wave DFT calculation with GGA-PBE was carried out for a geometry-optimized BaHf2Si structure.

The calculation puts the uncorrected formation energy at 583.9 meV per atom. As for the density of states at the Fermi level: 0.98 states/eV per atom. Its density is 6.54 Mg/m³. As for the total magnetization: 0.000 μB/atom.

a = 5.225 Å, b = 5.225 Å, c = 19.424 Å
α = 90.00°, β = 90.00°, γ = 90.00°
Space group I-42d (No. 122)
Asymmetric unit:
Ba (0.000, 0.000, 0.000) x4
Hf (0.028, 0.250, 0.625) x8
Si (0.000, 0.000, 0.500) x4

=====

[2]
A plane-wave DFT calculation with GGA-PBE was carried out for a geometry-optimized Ba2SrHfSi structure.

The calculation puts the uncorrected formation energy at 1380.4 meV per atom. As for the density of states at the Fermi level: 1.81 states/eV per atom. Its density is 4.22 Mg/m³. As for the total magnetization: 0.436 μB/atom.

a = 6.417 Å, b = 6.417 Å, c = 5.437 Å
α = 90.00°, β = 90.00°, γ = 90.00°
Space group P4/mmm (No. 123)
Asymmetric unit:
Ba (0.000, 0.500, 0.000) x2
Sr (0.000, 0.000, 0.000) x1
Hf (0.500, 0.500, 0.500) x1
Si (0.000, 0.000, 0.500) x1